Material: Li2CaLa2Mg5
Method: DFT, PBE
State: optimized geometry

energy of formation from the pure elements: -0.0577 eV/atom
space-group type: P4/mbm (127)

Cell lengths 4.5085, 10.9944, 10.9944 Å; angles 90.00, 90.00, 90.00 degrees
Closest atoms and distances in Å follow each position.
Fractional positions:
1 La 0.0000 0.8191 0.6809  3 Li 3.21-3.32
2 La 0.0000 0.1809 0.3191  3 Li 3.21-3.32
3 La 0.0000 0.3191 0.8191  3 Li 3.21-3.32
4 La 0.0000 0.6809 0.1809  3 Li 3.21-3.32
5 Mg 0.5000 0.9375 0.2191  2 Li 2.97, 1 Mg 3.16
6 Mg 0.5000 0.7809 0.9375  2 Li 2.97, 1 Mg 3.16
7 Mg 0.5000 0.4375 0.2809  2 Li 2.97, 1 Mg 3.16
8 Mg 0.5000 0.2191 0.0625  2 Li 2.97, 1 Mg 3.16
9 Mg 0.5000 0.2809 0.5625  2 Li 2.97, 1 Mg 3.16
10 Mg 0.5000 0.0625 0.7809  2 Li 2.97, 1 Mg 3.16
11 Mg 0.5000 0.0000 0.5000  4 Li 2.86, 4 Mg 3.16
12 Mg 0.5000 0.5000 0.0000  4 Li 2.86, 4 Mg 3.16
13 Mg 0.5000 0.5625 0.7191  2 Li 2.97, 1 Mg 3.16
14 Mg 0.5000 0.7191 0.4375  2 Li 2.97, 1 Mg 3.16
15 Ca 0.0000 0.0000 0.0000  8 Mg 3.37
16 Ca 0.0000 0.5000 0.5000  8 Mg 3.37
17 Li 0.0000 0.6130 0.8870  6 Mg 2.86-2.97
18 Li 0.0000 0.8870 0.3870  6 Mg 2.86-2.97
19 Li 0.0000 0.3870 0.1130  6 Mg 2.86-2.97
20 Li 0.0000 0.1130 0.6130  6 Mg 2.86-2.97



Material: LiCaLa2N
Method: DFT, PBE
State: optimized geometry

space-group type: P4/mmm (123)

Cell lengths 5.1200, 5.1200, 5.1237 Å; angles 90.00, 90.00, 90.00 degrees
Closest atoms and distances in Å follow each position.
Fractional positions:
1 N 0.0000 0.0000 0.0000  4 La 2.56, 2 Ca 2.56
2 Ca 0.0000 0.0000 0.5000  2 N 2.56
3 La 0.0000 0.5000 0.0000  2 N 2.56
4 La 0.5000 0.0000 0.0000  2 N 2.56
5 Li 0.5000 0.5000 0.5000  4 Ca 3.62, 8 La 3.62



no.,electronic total energy (eV per atom)
1,-2.423
2,-4.861